# 1
The following is a DFT calculation (PBE) of ScZn2Ir after structural relaxation.

abc: 4.0141 5.4721 5.4721
angles: 31.94 90.00 90.00
Positions (direct):
Sc 0.0000 0.0000 0.0000
Zn 0.0000 0.7507 0.7507
Zn 0.5000 0.6251 0.6251
Ir 0.5000 0.3625 0.3625

space-group type = Amm2
calculated volume = 15.9 A^3/atom
final energy = -19.276 eV/f.u.
M_tot = 0.000 μB per formula unit

# 2
The following is a DFT calculation (PBE) of Cu2As2Pd after structural relaxation.

abc: 6.2662 6.2662 6.2662
angles: 144.53 144.53 51.04
Positions (direct):
Cu 0.1030 0.1030 0.0000
Cu 0.8970 0.8970 0.0000
As 0.2500 0.7500 0.5000
As 0.7500 0.2500 0.5000
Pd 0.5000 0.5000 0.0000

space-group type = I4/mmm
calculated volume = 16.5 A^3/atom
final energy = -21.341 eV/f.u.
M_tot = 0.000 μB per formula unit

# 3
The following is a DFT calculation (PBE) of HfTlHg2 after structural relaxation.

abc: 3.2734 3.2734 8.9932
angles: 90.00 90.00 90.00
Positions (direct):
Hf 0.0000 0.0000 0.0000
Tl 0.0000 0.0000 0.5000
Hg 0.5000 0.5000 0.2205
Hg 0.5000 0.5000 0.7795

space-group type = P4/mmm
calculated volume = 24.1 A^3/atom
final energy = -12.631 eV/f.u.
M_tot = 0.000 μB per formula unit

# 4
The following is a DFT calculation (PBE) of SmZr2Sc after structural relaxation.

abc: 10.9987 10.9987 10.9987
angles: 17.19 17.19 17.19
Positions (direct):
Sm 0.0000 0.0000 0.0000
Zr 0.2470 0.2470 0.2470
Zr 0.7530 0.7530 0.7530
Sc 0.5000 0.5000 0.5000

space-group type = R-3m
calculated volume = 25.4 A^3/atom
final energy = -27.669 eV/f.u.
M_tot = 0.000 μB per formula unit